[1]
Tb2NdHoSb4: relaxed, PBE-GGA.

The structure in POSCAR format:
```
Tb2NdHoSb4
1.0
-1.8897 3.9282 0.7778
-6.7071 -2.7287 -2.5141
-3.8869 -3.0316 5.8678
Sb Ho Tb Nd
4 1 2 1
Direct
0.0000 0.2456 0.2560
0.0000 0.7544 0.7440
0.5000 0.7511 0.2541
0.5000 0.2489 0.7459
0.0000 0.5000 0.5000
0.0000 0.0000 0.0000
0.5000 0.0000 0.5000
0.5000 0.5000 0.0000
```

Properties
M_tot ... 0.000 μB/f.u.
E_tot ... -5.531 eV/atom
Fermi-level density of states ... 1.07 states/eV/cell
Raw formation energy ... -1.145 eV/atom

---

[2]
TbNd2Ho3Sb6: relaxed, PBE-GGA.

The structure in POSCAR format:
```
TbNd2Ho3Sb6
1.0
4.4282 0.0000 0.0000
0.0000 8.8439 0.3228
-2.2141 -2.5403 9.3027
Sb Ho Tb Nd
6 3 1 2
Direct
0.9972 0.2500 0.9943
0.6667 0.0761 0.3335
0.3333 0.9239 0.6665
0.0028 0.7500 0.0057
0.6645 0.5888 0.3290
0.3355 0.4112 0.6710
0.5000 0.5000 0.0000
0.8324 0.1664 0.6649
0.1676 0.8336 0.3351
0.5000 0.0000 0.0000
0.1660 0.3324 0.3320
0.8340 0.6676 0.6680
```

Properties
M_tot ... 0.000 μB/f.u.
E_tot ... -5.527 eV/atom
Fermi-level density of states ... 1.92 states/eV/cell
Raw formation energy ... -1.140 eV/atom